1.
A plane-wave DFT calculation with PBE was carried out for LiPd6Pt3 after structural relaxation.

D(E_F): 1.546 states/eV/atom
energy of formation from the pure elements: -0.086 eV/atom
symmetry: No. 11

Lattice parameters (Å, degrees): 2.729 10.198 11.306 100.99 90.00 90.00
Fractional positions:
1 Pt 0.250 0.930 0.903
2 Pd 0.250 0.267 0.703
3 Pd 0.750 0.512 0.691
4 Pd 0.250 0.191 0.918
5 Li 0.250 0.956 0.282
6 Pd 0.250 0.206 0.291
7 Pt 0.250 0.576 0.098
8 Pt 0.250 0.371 0.501
9 Pd 0.750 0.809 0.082
10 Pd 0.250 0.661 0.878
11 Pd 0.750 0.122 0.493
12 Pt 0.750 0.424 0.902
13 Pd 0.750 0.339 0.122
14 Pt 0.750 0.070 0.097
15 Pd 0.250 0.878 0.507
16 Pd 0.750 0.733 0.297
17 Li 0.750 0.044 0.718
18 Pd 0.750 0.794 0.709
19 Pt 0.750 0.629 0.499
20 Pd 0.250 0.488 0.309

---

2.
A plane-wave DFT calculation with PBE was carried out for TbF3 after structural relaxation.

D(E_F): 0.000 states/eV/atom
symmetry: No. 44
formation energy without anion corrections: -4.019 eV/atom

Lattice parameters (Å, degrees): 3.511 4.798 4.353 123.44 113.79 90.00
Fractional positions:
1 F 0.300 0.668 0.600
2 F 0.700 0.068 0.400
3 Tb 0.000 0.078 0.000
4 F 0.500 0.352 0.000

---

3.
A plane-wave DFT calculation with PBE was carried out for TmScIn2Te4 after structural relaxation.

D(E_F): 0.049 states/eV/atom
symmetry: No. 10
formation energy without anion corrections: -0.893 eV/atom

Lattice parameters (Å, degrees): 4.305 7.454 8.424 107.12 90.00 90.00
Fractional positions:
1 Te 0.000 0.746 0.215
2 Tm 0.500 0.500 0.000
3 Sc 0.000 0.000 0.000
4 Te 0.000 0.254 0.785
5 Te 0.500 0.229 0.211
6 In 0.500 0.000 0.500
7 In 0.000 0.500 0.500
8 Te 0.500 0.771 0.789